Density functional theory data (GGA-PBE) for BaCuSeN2 after structural relaxation.

abc: 4.3063 4.3063 4.7329
angles: 90.00 90.00 90.00
With the nearest neighbours (Å) after each atom.
Atoms (fractional coordinates):
Ba: 0.0000 0.0000 0.0000  4 Se 3.04, 8 N 3.20
Cu: 0.5000 0.5000 0.5000  4 N 2.15, 2 Se 2.37
Se: 0.5000 0.5000 0.0000  2 Cu 2.37
N: 0.0000 0.5000 0.5000  2 Cu 2.15
N: 0.5000 0.0000 0.5000  2 Cu 2.15

Properties
- ΔE_f (raw) (eV per atom) = 0.762
- SG = P4/mmm (123)
- N(E_F) (states/eV per atom) = 0.9879
- total moment (Bohr magnetons per cell) = 0.0
- energy relative to the lowest polymorph listed for this composition (eV/atom) = 0.000


Density functional theory data (GGA-PBE) for Pa2BiF after structural relaxation.

abc: 6.9618 6.9618 6.9618
angles: 45.19 45.19 45.19
With the nearest neighbours (Å) after each atom.
Atoms (fractional coordinates):
Pa: 0.1231 0.1231 0.1231  1 F 2.30
Pa: 0.8769 0.8769 0.8769  1 F 2.30
Bi: 0.5000 0.5000 0.5000  6 Pa 3.19
F: 0.0000 0.0000 0.0000  2 Pa 2.30

Properties
- ΔE_f (raw) (eV per atom) = -0.501
- SG = R-3m (166)
- N(E_F) (states/eV per atom) = 1.5027
- total moment (Bohr magnetons per cell) = 6.0


Density functional theory data (GGA-PBE) for Al2AgBr after structural relaxation.

abc: 5.2262 5.2262 3.0351
angles: 90.00 90.00 91.56
With the nearest neighbours (Å) after each atom.
Atoms (fractional coordinates):
Al: 0.0000 0.5000 0.0000  4 Br 3.02, 4 Ag 3.02, 2 Al 3.04
Al: 0.5000 0.0000 0.0000  4 Br 3.02, 4 Ag 3.02, 2 Al 3.04
Ag: 0.0000 0.0000 0.5000  8 Al 3.02, 2 Ag 3.04
Br: 0.5000 0.5000 0.5000  8 Al 3.02, 2 Br 3.04

Properties
- ΔE_f (raw) (eV per atom) = 0.153
- SG = Cmmm (65)
- N(E_F) (states/eV per atom) = 0.1928
- total moment (Bohr magnetons per cell) = 0.0
- energy relative to the lowest polymorph listed for this composition (eV/atom) = 0.154


Density functional theory data (GGA-PBE) for Be3Nb2B after structural relaxation.

abc: 3.2537 3.3818 5.9191
angles: 90.00 90.00 90.00
With the nearest neighbours (Å) after each atom.
Atoms (fractional coordinates):
Be: 0.0000 0.0000 0.0000  3 Be 2.00-2.01
Be: 0.0000 0.0000 0.3401  2 B 1.93, 1 Be 2.01
Be: 0.0000 0.5000 0.8206  1 B 1.91, 2 Be 2.00
Nb: 0.5000 0.0000 0.6544  8 Be 2.47-2.61, 4 B 2.52
Nb: 0.5000 0.5000 0.1772  2 B 2.50, 10 Be 2.54-2.66
B: 0.0000 0.5000 0.4980  3 Be 1.91-1.93

Properties
- SG = Pmm2 (25)
- N(E_F) (states/eV per atom) = 0.2870
- total moment (Bohr magnetons per cell) = 0.0
- energy relative to the lowest polymorph listed for this composition (eV/atom) = 0.000


Density functional theory data (GGA-PBE) for Ba2DyRe2N6 after structural relaxation.

abc: 6.2464 6.2464 7.2930
angles: 118.76 118.76 59.17
With the nearest neighbours (Å) after each atom.
Atoms (fractional coordinates):
Ba: 0.2152 0.2152 0.1904  5 N 2.87-3.07
Ba: 0.7848 0.7848 0.8096  5 N 2.87-3.07
Dy: 0.0000 0.0000 0.5000  6 N 2.35-2.42
Re: 0.4603 0.4603 0.7970  3 N 1.80-1.82
Re: 0.5397 0.5397 0.2030  3 N 1.80-1.82
N: 0.2137 0.6964 0.2326  1 Re 1.82
N: 0.2618 0.2618 0.6454  1 Re 1.80
N: 0.3036 0.7863 0.7674  1 Re 1.82
N: 0.6964 0.2137 0.2326  1 Re 1.82
N: 0.7382 0.7382 0.3546  1 Re 1.80
N: 0.7863 0.3036 0.7674  1 Re 1.82

Properties
- ΔE_f (raw) (eV per atom) = -0.770
- SG = C2/m (12)
- N(E_F) (states/eV per atom) = 0.2803
- total moment (Bohr magnetons per cell) = 0.0


Density functional theory data (GGA-PBE) for Ac4Pr7Dy after structural relaxation.

abc: 6.6174 7.6212 9.4855
angles: 90.17 103.48 90.08
With the nearest neighbours (Å) after each atom.
Atoms (fractional coordinates):
Ac: 0.2215 0.2404 0.1721  8 Pr 3.71-3.91, 1 Dy 3.71, 3 Ac 3.82-3.89
Ac: 0.2722 0.4994 0.8292  8 Pr 3.74-3.89, 4 Ac 3.82-3.89
Ac: 0.7278 0.5006 0.1708  8 Pr 3.74-3.89, 4 Ac 3.82-3.89
Ac: 0.7785 0.7596 0.8279  8 Pr 3.71-3.91, 1 Dy 3.71, 3 Ac 3.82-3.89
Pr: 0.0034 0.7560 0.4970  7 Pr 3.68-3.90, 3 Ac 3.74-3.79, 2 Dy 3.77-3.82
Pr: 0.2280 0.7539 0.1762  1 Dy 3.68, 5 Pr 3.68-3.91, 6 Ac 3.71-3.91
Pr: 0.2810 0.0005 0.8262  6 Pr 3.71-3.91, 1 Dy 3.71, 5 Ac 3.77-3.85
Pr: 0.5000 0.5000 0.5000  6 Pr 3.73-3.86, 4 Ac 3.77-3.78, 2 Dy 3.81
Pr: 0.7190 0.9995 0.1738  6 Pr 3.71-3.91, 1 Dy 3.71, 5 Ac 3.77-3.85
Pr: 0.7720 0.2461 0.8238  1 Dy 3.68, 5 Pr 3.68-3.91, 6 Ac 3.71-3.91
Pr: 0.9966 0.2440 0.5030  7 Pr 3.68-3.90, 3 Ac 3.74-3.79, 2 Dy 3.77-3.82
Dy: 0.5000 0.0000 0.5000  10 Pr 3.68-3.82, 2 Ac 3.71

Properties
- calculated total energy (eV/atom) = -4.5088
- SG = P-1 (2)
- N(E_F) (states/eV per atom) = 1.3742
- total moment (Bohr magnetons per cell) = 0.0


Density functional theory data (GGA-PBE) for Er12Co3C5 after structural relaxation.

abc: 13.0762 13.0762 13.0762
angles: 109.47 109.47 109.47
With the nearest neighbours (Å) after each atom.
Atoms (fractional coordinates):
Er: 0.0300 0.2085 0.1248  2 C 2.27-2.48
Er: 0.0300 0.3214 0.9051  2 C 2.27-2.48
Er: 0.0837 0.7085 0.6786  2 C 2.27-2.48
Er: 0.0837 0.8752 0.4051  2 C 2.27-2.48
Er: 0.0949 0.6248 0.4163  2 C 2.27-2.48
Er: 0.0949 0.9700 0.6786  2 C 2.27-2.48
Er: 0.1248 0.0300 0.2085  2 C 2.27-2.48
Er: 0.1248 0.5949 0.9163  2 C 2.27-2.48
Er: 0.1786 0.2085 0.5837  2 C 2.27-2.48
Er: 0.1786 0.4700 0.5949  2 C 2.27-2.48
Er: 0.2085 0.1248 0.0300  2 C 2.27-2.48
Er: 0.2085 0.5837 0.1786  2 C 2.27-2.48
Er: 0.2915 0.3214 0.9163  2 C 2.27-2.48
Er: 0.2915 0.4700 0.3752  2 C 2.27-2.48
Er: 0.3214 0.9051 0.0300  2 C 2.27-2.48
Er: 0.3214 0.9163 0.2915  2 C 2.27-2.48
Er: 0.3752 0.2915 0.4700  2 C 2.27-2.48
Er: 0.3752 0.5837 0.9051  2 C 2.27-2.48
Er: 0.4051 0.0837 0.8752  2 C 2.27-2.48
Er: 0.4051 0.8214 0.5300  2 C 2.27-2.48
Er: 0.4163 0.0949 0.6248  2 C 2.27-2.48
Er: 0.4163 0.8214 0.7915  2 C 2.27-2.48
Er: 0.4700 0.3752 0.2915  2 C 2.27-2.48
Er: 0.4700 0.5949 0.1786  2 C 2.27-2.48
Er: 0.5300 0.4051 0.8214  2 C 2.27-2.48
Er: 0.5300 0.6248 0.7085  2 C 2.27-2.48
Er: 0.5837 0.1786 0.2085  2 C 2.27-2.48
Er: 0.5837 0.9051 0.3752  2 C 2.27-2.48
Er: 0.5949 0.1786 0.4700  2 C 2.27-2.48
Er: 0.5949 0.9163 0.1248  2 C 2.27-2.48
Er: 0.6248 0.4163 0.0949  2 C 2.27-2.48
Er: 0.6248 0.7085 0.5300  2 C 2.27-2.48
Er: 0.6786 0.0837 0.7085  2 C 2.27-2.48
Er: 0.6786 0.0949 0.9700  2 C 2.27-2.48
Er: 0.7085 0.5300 0.6248  2 C 2.27-2.48
Er: 0.7085 0.6786 0.0837  2 C 2.27-2.48
Er: 0.7915 0.4163 0.8214  2 C 2.27-2.48
Er: 0.7915 0.8752 0.9700  2 C 2.27-2.48
Er: 0.8214 0.5300 0.4051  2 C 2.27-2.48
Er: 0.8214 0.7915 0.4163  2 C 2.27-2.48
Er: 0.8752 0.4051 0.0837  2 C 2.27-2.48
Er: 0.8752 0.9700 0.7915  2 C 2.27-2.48
Er: 0.9051 0.0300 0.3214  2 C 2.27-2.48
Er: 0.9051 0.3752 0.5837  2 C 2.27-2.48
Er: 0.9163 0.1248 0.5949  2 C 2.27-2.48
Er: 0.9163 0.2915 0.3214  2 C 2.27-2.48
Er: 0.9700 0.6786 0.0949  2 C 2.27-2.48
Er: 0.9700 0.7915 0.8752  2 C 2.27-2.48
Co: 0.1250 0.2500 0.3750  8 Er 2.86-2.97
Co: 0.1250 0.3750 0.7500  8 Er 2.86-2.97
Co: 0.2500 0.3750 0.1250  8 Er 2.86-2.97
Co: 0.2500 0.8750 0.6250  8 Er 2.86-2.97
Co: 0.3750 0.1250 0.2500  8 Er 2.86-2.97
Co: 0.3750 0.7500 0.1250  8 Er 2.86-2.97
Co: 0.6250 0.2500 0.8750  8 Er 2.86-2.97
Co: 0.6250 0.8750 0.7500  8 Er 2.86-2.97
Co: 0.7500 0.1250 0.3750  8 Er 2.86-2.97
Co: 0.7500 0.6250 0.8750  8 Er 2.86-2.97
Co: 0.8750 0.6250 0.2500  8 Er 2.86-2.97
Co: 0.8750 0.7500 0.6250  8 Er 2.86-2.97
C: 0.0000 0.0000 0.0000  6 Er 2.48
C: 0.0000 0.0000 0.5000  6 Er 2.48
C: 0.0000 0.5000 0.0000  6 Er 2.48
C: 0.0000 0.5000 0.5000  6 Er 2.48
C: 0.1250 0.7500 0.8750  4 Er 2.27
C: 0.1250 0.8750 0.2500  4 Er 2.27
C: 0.2500 0.1250 0.8750  4 Er 2.27
C: 0.2500 0.6250 0.3750  4 Er 2.27
C: 0.3750 0.2500 0.6250  4 Er 2.27
C: 0.3750 0.6250 0.7500  4 Er 2.27
C: 0.5000 0.0000 0.0000  6 Er 2.48
C: 0.5000 0.0000 0.5000  6 Er 2.48
C: 0.5000 0.5000 0.0000  6 Er 2.48
C: 0.5000 0.5000 0.5000  6 Er 2.48
C: 0.6250 0.3750 0.2500  4 Er 2.27
C: 0.6250 0.7500 0.3750  4 Er 2.27
C: 0.7500 0.3750 0.6250  4 Er 2.27
C: 0.7500 0.8750 0.1250  4 Er 2.27
C: 0.8750 0.1250 0.7500  4 Er 2.27
C: 0.8750 0.2500 0.1250  4 Er 2.27

Properties
- calculated total energy (eV/atom) = -6.1610
- SG = Ia-3d (230)
- N(E_F) (states/eV per atom) = 0.5972
- total moment (Bohr magnetons per cell) = 0.0


Density functional theory data (GGA-PBE) for CeNpSbO2 after structural relaxation.

abc: 6.9197 6.9197 6.9197
angles: 146.91 146.91 47.50
With the nearest neighbours (Å) after each atom.
Atoms (fractional coordinates):
Ce: 0.0000 0.0000 0.0000  4 O 2.34
Np: 0.3068 0.3068 0.0000  4 O 2.30
Sb: 0.6563 0.6563 0.0000  4 Np 3.38, 4 Ce 3.42, 4 O 3.67
O: 0.4007 0.9007 0.5000  2 Np 2.30, 2 Ce 2.34
O: 0.9007 0.4007 0.5000  2 Np 2.30, 2 Ce 2.34

Properties
- ΔE_f (raw) (eV per atom) = -2.358
- SG = I4mm (107)
- N(E_F) (states/eV per atom) = 2.7883
- total moment (Bohr magnetons per cell) = 4.0


Density functional theory data (GGA-PBE) for Y3Ho3Tm8 after structural relaxation.

abc: 9.5250 9.5250 9.5250
angles: 146.16 111.75 78.39
With the nearest neighbours (Å) after each atom.
Atoms (fractional coordinates):
Y: 0.0000 0.0000 0.0000  4 Ho 3.54, 4 Y 3.85
Y: 0.1811 0.6811 0.5000  2 Ho 3.46, 8 Tm 3.56-3.69, 2 Y 3.85
Y: 0.8189 0.3189 0.5000  2 Ho 3.46, 8 Tm 3.56-3.69, 2 Y 3.85
Ho: 0.2061 0.5000 0.7061  1 Ho 3.14, 2 Y 3.46, 4 Tm 3.49
Ho: 0.5000 0.5000 0.0000  2 Ho 3.14
Ho: 0.7939 0.5000 0.2939  1 Ho 3.14, 2 Y 3.46, 4 Tm 3.49
Tm: 0.1195 0.2785 0.8410  6 Tm 3.24-3.49, 2 Y 3.56, 1 Ho 3.57
Tm: 0.2385 0.8960 0.3424  5 Tm 3.07-3.37
Tm: 0.4376 0.2785 0.1590  6 Tm 3.24-3.49, 2 Y 3.56, 1 Ho 3.57
Tm: 0.4464 0.1040 0.3424  5 Tm 3.07-3.37
Tm: 0.5536 0.8960 0.6576  5 Tm 3.07-3.37
Tm: 0.5624 0.7215 0.8410  6 Tm 3.24-3.49, 2 Y 3.56, 1 Ho 3.57
Tm: 0.7615 0.1040 0.6576  5 Tm 3.07-3.37
Tm: 0.8805 0.7215 0.1590  6 Tm 3.24-3.49, 2 Y 3.56, 1 Ho 3.57

Properties
- calculated total energy (eV/atom) = -4.8092
- SG = Immm (71)
- N(E_F) (states/eV per atom) = 1.5914
- total moment (Bohr magnetons per cell) = 0.0


Density functional theory data (GGA-PBE) for K3SnS4 after structural relaxation.

abc: 8.0887 8.0887 5.0613
angles: 104.49 104.49 59.87
With the nearest neighbours (Å) after each atom.
Atoms (fractional coordinates):
K: 0.0000 0.0000 0.0000  4 S 3.22-3.31
K: 0.5563 0.0048 0.2752  5 S 3.19-3.44
K: 0.9952 0.4437 0.7248  5 S 3.19-3.44
Sn: 0.3434 0.6566 0.5000  4 S 2.49-2.67
S: 0.0137 0.6870 0.3297  1 Sn 2.49
S: 0.3130 0.9863 0.6703  1 Sn 2.49
S: 0.6289 0.3365 0.6944  1 S 2.16
S: 0.6635 0.3711 0.3056  1 S 2.16

Properties
- ΔE_f (raw) (eV per atom) = -0.725
- SG = C2 (5)
- N(E_F) (states/eV per atom) = 0.4396
- total moment (Bohr magnetons per cell) = 0.8
- energy relative to the lowest polymorph listed for this composition (eV/atom) = 0.084


Density functional theory data (GGA-PBE) for Sr4RuPt after structural relaxation.

abc: 6.3564 6.3564 6.3564
angles: 60.00 60.00 60.00
With the nearest neighbours (Å) after each atom.
Atoms (fractional coordinates):
Sr: 0.1252 0.1252 0.1252  6 Sr 3.17-3.18
Sr: 0.1252 0.1252 0.6245  6 Sr 3.17-3.18
Sr: 0.1252 0.6245 0.1252  6 Sr 3.17-3.18
Sr: 0.6245 0.1252 0.1252  6 Sr 3.17-3.18
Ru: 0.5000 0.5000 0.5000  12 Sr 3.73, 4 Pt 3.89
Pt: 0.7500 0.7500 0.7500  12 Sr 3.73, 4 Ru 3.89

Properties
- calculated total energy (eV/atom) = -2.6319
- SG = F-43m (216)
- N(E_F) (states/eV per atom) = 0.9819
- total moment (Bohr magnetons per cell) = 0.2


Density functional theory data (GGA-PBE) for TbBeSn after structural relaxation.

abc: 4.1899 4.1899 4.2036
angles: 90.00 90.00 120.00
With the nearest neighbours (Å) after each atom.
Atoms (fractional coordinates):
Tb: 0.0000 0.0000 0.0000  6 Be 3.20-3.21, 6 Sn 3.20
Be: 0.6667 0.3333 0.4988  3 Sn 2.42
Sn: 0.3333 0.6667 0.5001  3 Be 2.42

Properties
- calculated total energy (eV/atom) = -4.5782
- SG = P3m1 (156)
- N(E_F) (states/eV per atom) = 0.4286
- total moment (Bohr magnetons per cell) = 0.0